# PdAuI3 | the Alexandria database | PBE | relaxed
data_PdAuI3
_space_group_name_H-M_alt 'P 1'
_space_group_IT_number 1
_cell_length_a 4.2764
_cell_length_b 7.7658
_cell_length_c 10.8902
_cell_angle_alpha 90.00
_cell_angle_beta 101.32
_cell_angle_gamma 90.00
loop_
_space_group_symop_operation_xyz
'x,y,z'
loop_
_atom_site_label
_atom_site_fract_x
_atom_site_fract_y
_atom_site_fract_z
Au1 0.6589 0.9898 0.3178
Au2 0.3411 0.4898 0.6822
I1 0.4374 0.8755 0.8747
I2 0.2113 0.1865 0.4225
I3 0.8903 0.2890 0.7806
I4 0.5626 0.3755 0.1253
I5 0.1097 0.7890 0.2194
I6 0.7887 0.6865 0.5775
Pd1 0.1309 0.4533 0.2619
Pd2 0.8691 0.9533 0.7381
# Total energy in eV/cell: -25.83
# V in Å³ per cell: 354.62
# SG: No. 36
# Uncorrected formation energy in eV per atom: 0.041
# Total moment in μB/f.u.: 0.00

# PdAu2I8 | the Alexandria database | PBE | relaxed
data_PdAu2I8
_space_group_name_H-M_alt 'P 1'
_space_group_IT_number 1
_cell_length_a 7.3163
_cell_length_b 8.0174
_cell_length_c 8.0174
_cell_angle_alpha 73.25
_cell_angle_beta 101.56
_cell_angle_gamma 101.56
loop_
_space_group_symop_operation_xyz
'x,y,z'
loop_
_atom_site_label
_atom_site_fract_x
_atom_site_fract_y
_atom_site_fract_z
I1 0.2877 0.1903 0.1903
I2 0.7123 0.8097 0.8097
I3 0.7171 0.4251 0.4251
I4 0.2829 0.5749 0.5749
I5 0.1893 0.1051 0.7199
I6 0.8107 0.2801 0.8949
I7 0.1893 0.7199 0.1051
I8 0.8107 0.8949 0.2801
Au1 0.6937 0.2183 0.2183
Au2 0.3063 0.7817 0.7817
Pd1 0.0000 0.0000 0.0000
# Total energy in eV/cell: -23.84
# V in Å³ per cell: 436.05
# SG: No. 12
# Uncorrected formation energy in eV per atom: 0.028
# Total moment in μB/f.u.: 0.00

# PdAu2I6 | the Alexandria database | PBE | relaxed
data_PdAu2I6
_space_group_name_H-M_alt 'P 1'
_space_group_IT_number 1
_cell_length_a 14.2127
_cell_length_b 8.1560
_cell_length_c 8.1560
_cell_angle_alpha 121.63
_cell_angle_beta 100.26
_cell_angle_gamma 100.26
loop_
_space_group_symop_operation_xyz
'x,y,z'
loop_
_atom_site_label
_atom_site_fract_x
_atom_site_fract_y
_atom_site_fract_z
I1 0.9419 0.4795 0.2621
I2 0.6630 0.3948 0.9215
I3 0.3370 0.6052 0.0785
I4 0.4419 0.2621 0.4795
I5 0.1630 0.9215 0.3948
I6 0.5581 0.7379 0.5205
I7 0.8370 0.0785 0.6052
I8 0.6780 0.1456 0.1802
I9 0.8220 0.8198 0.8544
I10 0.1780 0.1802 0.1456
I11 0.3220 0.8544 0.8198
I12 0.0581 0.5205 0.7379
Pd1 0.2500 0.8842 0.1158
Pd2 0.7500 0.1158 0.8842
Au1 0.3680 0.4527 0.3069
Au2 0.1320 0.6931 0.5473
Au3 0.8680 0.3069 0.4527
Au4 0.6320 0.5473 0.6931
# Total energy in eV/cell: -43.06
# V in Å³ per cell: 749.37
# SG: No. 15
# Uncorrected formation energy in eV per atom: -0.053
# Total moment in μB/f.u.: 0.00

# Pd5Au3I12 | the Alexandria database | PBE | relaxed
data_Pd5Au3I12
_space_group_name_H-M_alt 'P 1'
_space_group_IT_number 1
_cell_length_a 15.3185
_cell_length_b 15.3185
_cell_length_c 15.3185
_cell_angle_alpha 109.47
_cell_angle_beta 109.47
_cell_angle_gamma 109.47
loop_
_space_group_symop_operation_xyz
'x,y,z'
loop_
_atom_site_label
_atom_site_fract_x
_atom_site_fract_y
_atom_site_fract_z
I1 0.6622 0.4894 0.6372
I2 0.8628 0.0250 0.8522
I3 0.5106 0.3378 0.8628
I4 0.9750 0.8378 0.8272
I5 0.8628 0.8378 0.5106
I6 0.0106 0.6478 0.6728
I7 0.1478 0.6728 0.5106
I8 0.1728 0.5106 0.6478
I9 0.1372 0.9750 0.1478
I10 0.0250 0.8628 0.3522
I11 0.5250 0.8522 0.3628
I12 0.5250 0.6728 0.6622
I13 0.1372 0.1622 0.4894
I14 0.8378 0.8628 0.0106
I15 0.8522 0.3272 0.4894
I16 0.5106 0.1728 0.1478
I17 0.1728 0.6622 0.0250
I18 0.3522 0.3628 0.0250
I19 0.3522 0.9894 0.8272
I20 0.6372 0.9894 0.6622
I21 0.4894 0.6622 0.1372
I22 0.4894 0.8272 0.8522
I23 0.3628 0.3522 0.5250
I24 0.3272 0.8522 0.9894
I25 0.9894 0.6372 0.1622
I26 0.1478 0.4750 0.1372
I27 0.3378 0.5106 0.3628
I28 0.9894 0.3522 0.3272
I29 0.3272 0.4750 0.8378
I30 0.6478 0.6372 0.9750
I31 0.8378 0.9750 0.3272
I32 0.3628 0.0106 0.3378
I33 0.6622 0.1728 0.5250
I34 0.8522 0.5250 0.8628
I35 0.6728 0.1478 0.0106
I36 0.4750 0.1478 0.6372
I37 0.8272 0.3378 0.9750
I38 0.9750 0.1372 0.6478
I39 0.4750 0.3272 0.3378
I40 0.6372 0.6478 0.4750
I41 0.8272 0.4894 0.3522
I42 0.6478 0.0106 0.1728
I43 0.0106 0.3628 0.8378
I44 0.6728 0.5250 0.1622
I45 0.3378 0.8272 0.4750
I46 0.1622 0.0250 0.6728
I47 0.0250 0.1622 0.1728
I48 0.1622 0.1372 0.9894
Pd1 0.8750 0.6250 0.7500
Pd2 0.5000 0.0000 0.0000
Pd3 0.2500 0.8750 0.1250
Pd4 0.3750 0.1250 0.7500
Pd5 0.0000 0.5000 0.0000
Pd6 0.6250 0.7500 0.8750
Pd7 0.5000 0.5000 0.5000
Pd8 0.1250 0.3750 0.2500
Pd9 0.2500 0.3750 0.6250
Pd10 0.0000 0.0000 0.0000
Pd11 0.3750 0.2500 0.1250
Pd12 0.7500 0.6250 0.3750
Pd13 0.0000 0.5000 0.5000
Pd14 0.1250 0.7500 0.3750
Pd15 0.8750 0.2500 0.6250
Pd16 0.6250 0.8750 0.2500
Pd17 0.7500 0.1250 0.8750
Pd18 0.5000 0.5000 0.0000
Pd19 0.5000 0.0000 0.5000
Pd20 0.0000 0.0000 0.5000
Au1 0.3750 0.6250 0.2500
Au2 0.2500 0.6250 0.8750
Au3 0.8750 0.7500 0.1250
Au4 0.6250 0.3750 0.7500
Au5 0.2500 0.1250 0.3750
Au6 0.7500 0.3750 0.1250
Au7 0.6250 0.2500 0.3750
Au8 0.3750 0.7500 0.6250
Au9 0.8750 0.1250 0.2500
Au10 0.1250 0.8750 0.7500
Au11 0.1250 0.2500 0.8750
Au12 0.7500 0.8750 0.6250
# Total energy in eV/cell: -215.23
# V in Å³ per cell: 2767.13
# SG: No. 230
# Uncorrected formation energy in eV per atom: 0.029
# Total moment in μB/f.u.: 0.00

# Pr6Pd2AuI3 | the Alexandria database | PBE | relaxed
data_Pr6Pd2AuI3
_space_group_name_H-M_alt 'P 1'
_space_group_IT_number 1
_cell_length_a 7.4975
_cell_length_b 7.4975
_cell_length_c 8.4873
_cell_angle_alpha 98.48
_cell_angle_beta 98.48
_cell_angle_gamma 119.99
loop_
_space_group_symop_operation_xyz
'x,y,z'
loop_
_atom_site_label
_atom_site_fract_x
_atom_site_fract_y
_atom_site_fract_z
I1 0.8349 0.1651 0.5000
I2 0.5000 0.5000 0.5000
I3 0.1651 0.8349 0.5000
Pr1 0.9352 0.5943 0.8058
Pr2 0.4057 0.0648 0.1942
Pr3 0.5943 0.9352 0.8058
Pr4 0.0648 0.4057 0.1942
Pr5 0.7238 0.7238 0.1937
Pr6 0.2762 0.2762 0.8063
Pd1 0.6668 0.3332 0.0000
Pd2 0.3332 0.6668 0.0000
Au1 0.0000 0.0000 0.0000
# Total energy in eV/cell: -57.19
# V in Å³ per cell: 394.84
# SG: No. 12
# Uncorrected formation energy in eV per atom: -0.850
# Total moment in μB/f.u.: 0.00

# PdPt2AuI | the Alexandria database | PBE | relaxed
data_PdPt2AuI
_space_group_name_H-M_alt 'P 1'
_space_group_IT_number 1
_cell_length_a 4.9200
_cell_length_b 5.0328
_cell_length_c 4.9200
_cell_angle_alpha 90.00
_cell_angle_beta 90.00
_cell_angle_gamma 90.00
loop_
_space_group_symop_operation_xyz
'x,y,z'
loop_
_atom_site_label
_atom_site_fract_x
_atom_site_fract_y
_atom_site_fract_z
Au1 0.0000 0.5000 0.0000
Pd1 0.0000 0.0000 0.0000
Pt1 0.5000 0.0000 0.0000
Pt2 0.0000 0.0000 0.5000
I1 0.5000 0.5000 0.5000
# Total energy in eV/cell: -16.54
# V in Å³ per cell: 121.82
# SG: No. 123
# Uncorrected formation energy in eV per atom: 1.111
# Total moment in μB/f.u.: 0.83